one:
VASP calculation (PBE-GGA) on an optimized crystal structure of TlSn2Pb8.

The structure in POSCAR format:
```
TlSn2Pb8
1.0
9.1621 -1.7912 0.0000
9.1621 1.7912 0.0000
-0.8376 0.0000 10.3527
Tl Sn Pb
1 2 8
Direct
0.0000 0.0000 0.0000
0.2706 0.2706 0.3673
0.7294 0.7294 0.6327
0.0949 0.0949 0.4568
0.1828 0.1828 0.9027
0.3607 0.3607 0.8165
0.4530 0.4530 0.2743
0.5470 0.5470 0.7257
0.6393 0.6393 0.1835
0.8172 0.8172 0.0973
0.9051 0.9051 0.5432
```

Calculated values
volume: 30.89 Å³ per atom
theoretical density: 10.26 g cm⁻³
DOS at the Fermi energy: 6.515 states/eV per cell

two:
VASP calculation (PBE-GGA) on an optimized crystal structure of TlSn2Pb8.

The structure in POSCAR format:
```
TlSn2Pb8
1.0
4.8649 -6.5354 0.0000
4.8649 6.5354 0.0000
-1.8125 0.0000 5.6416
Tl Sn Pb
1 2 8
Direct
0.0000 0.0000 0.0000
0.3503 0.6497 0.5000
0.6497 0.3503 0.5000
0.0510 0.3223 0.5874
0.2528 0.7472 0.0000
0.3223 0.0510 0.5874
0.3477 0.3477 0.0849
0.6523 0.6523 0.9151
0.6777 0.9490 0.4126
0.7472 0.2528 0.0000
0.9490 0.6777 0.4126
```

Calculated values
volume: 32.61 Å³ per atom
theoretical density: 9.72 g cm⁻³
DOS at the Fermi energy: 4.824 states/eV per cell

It is two that is the least stable of them.

one:
VASP calculation (PBE-GGA) on an optimized crystal structure of Tl4Sn2Pb3.

The structure in POSCAR format:
```
Tl4Sn2Pb3
1.0
7.6459 -1.7556 0.0000
7.6459 1.7556 0.0000
-2.4655 0.0000 10.2085
Tl Sn Pb
4 2 3
Direct
0.0038 0.0038 0.3327
0.3317 0.3317 0.1104
0.6683 0.6683 0.8896
0.9962 0.9962 0.6673
0.3317 0.3317 0.7755
0.6683 0.6683 0.2245
0.0000 0.0000 0.0000
0.3292 0.3292 0.4443
0.6708 0.6708 0.5557
```

Calculated values
volume: 30.45 Å³ per atom
theoretical density: 10.16 g cm⁻³
DOS at the Fermi energy: 4.342 states/eV per cell

two:
VASP calculation (PBE-GGA) on an optimized crystal structure of Tl4Sn2Pb3.

The structure in POSCAR format:
```
Tl4Sn2Pb3
1.0
3.4333 0.0000 0.0000
-1.7167 2.9734 0.0000
0.0000 0.0000 27.2283
Tl Sn Pb
4 2 3
Direct
0.0000 0.0000 0.0000
0.0000 0.0000 0.2210
0.3333 0.6667 0.3401
0.3333 0.6667 0.5628
0.0000 0.0000 0.6690
0.0000 0.0000 0.8801
0.0000 0.0000 0.4496
0.3333 0.6667 0.1096
0.3333 0.6667 0.7744
```

Calculated values
volume: 30.88 Å³ per atom
theoretical density: 10.02 g cm⁻³
DOS at the Fermi energy: 5.342 states/eV per cell

It is two that is the least stable of them.

one:
VASP calculation (PBE-GGA) on an optimized crystal structure of Tl6SnPb.

The structure in POSCAR format:
```
Tl6SnPb
1.0
5.9384 3.4285 3.0949
-5.9384 3.4285 3.0949
0.0000 -6.8570 3.0949
Tl Sn Pb
6 1 1
Direct
0.0487 0.3560 0.3560
0.3560 0.0487 0.3560
0.3560 0.3560 0.0487
0.6440 0.6440 0.9513
0.6440 0.9513 0.6440
0.9513 0.6440 0.6440
0.5000 0.5000 0.5000
0.0000 0.0000 0.0000
```

Calculated values
volume: 47.26 Å³ per atom
theoretical density: 6.82 g cm⁻³
DOS at the Fermi energy: 5.713 states/eV per cell

two:
VASP calculation (PBE-GGA) on an optimized crystal structure of Tl6SnPb.

The structure in POSCAR format:
```
Tl6SnPb
1.0
4.9550 0.0000 0.0000
0.0000 4.9550 0.0000
0.0000 0.0000 9.8866
Tl Sn Pb
6 1 1
Direct
0.0000 0.0000 0.0000
0.0000 0.0000 0.5000
0.0000 0.5000 0.2459
0.0000 0.5000 0.7541
0.5000 0.0000 0.2459
0.5000 0.0000 0.7541
0.5000 0.5000 0.0000
0.5000 0.5000 0.5000
```

Calculated values
volume: 30.34 Å³ per atom
theoretical density: 10.62 g cm⁻³
DOS at the Fermi energy: 2.791 states/eV per cell

It is one that is the least stable of them.

one:
VASP calculation (PBE-GGA) on an optimized crystal structure of TmSnPb.

The structure in POSCAR format:
```
TmSnPb
1.0
2.2804 -8.0585 0.0000
2.2804 8.0585 0.0000
0.0000 0.0000 4.4058
Tm Sn Pb
2 2 2
Direct
0.0915 0.9085 0.7500
0.9085 0.0915 0.2500
0.4337 0.5663 0.7500
0.5663 0.4337 0.2500
0.2526 0.7474 0.2500
0.7474 0.2526 0.7500
```

Calculated values
volume: 26.99 Å³ per atom
theoretical density: 10.15 g cm⁻³
DOS at the Fermi energy: 3.510 states/eV per cell

two:
VASP calculation (PBE-GGA) on an optimized crystal structure of TmSnPb.

The structure in POSCAR format:
```
TmSnPb
1.0
-2.3309 2.3309 7.7019
2.3309 -2.3309 7.7019
2.3309 2.3309 -7.7019
Tm Sn Pb
2 2 2
Direct
0.1379 0.1379 0.0000
0.8621 0.8621 0.0000
0.0000 0.5000 0.5000
0.5000 0.0000 0.5000
0.3391 0.3391 0.0000
0.6609 0.6609 0.0000
```

Calculated values
volume: 27.90 Å³ per atom
theoretical density: 9.82 g cm⁻³
DOS at the Fermi energy: 3.094 states/eV per cell

It is two that is the least stable of them.

one:
VASP calculation (PBE-GGA) on an optimized crystal structure of TmSn2Pb.

The structure in POSCAR format:
```
TmSn2Pb
1.0
4.1357 0.0000 0.0000
0.0000 4.1357 0.0000
0.0000 0.0000 6.4409
Tm Sn Pb
1 2 1
Direct
0.0000 0.0000 0.0000
0.5000 0.5000 0.2352
0.5000 0.5000 0.7648
0.0000 0.0000 0.5000
```

Calculated values
volume: 27.54 Å³ per atom
theoretical density: 9.25 g cm⁻³
DOS at the Fermi energy: 1.558 states/eV per cell

two:
VASP calculation (PBE-GGA) on an optimized crystal structure of TmSn2Pb.

The structure in POSCAR format:
```
TmSn2Pb
1.0
4.7728 0.0000 0.0000
0.0000 4.7728 0.0000
0.0000 0.0000 4.7186
Tm Sn Pb
1 2 1
Direct
0.0000 0.0000 0.0000
0.0000 0.5000 0.5000
0.5000 0.0000 0.5000
0.5000 0.5000 0.0000
```

Calculated values
volume: 26.87 Å³ per atom
theoretical density: 9.48 g cm⁻³
DOS at the Fermi energy: 2.487 states/eV per cell

It is one that is the least stable of them.

one:
VASP calculation (PBE-GGA) on an optimized crystal structure of USnPb.

The structure in POSCAR format:
```
USnPb
1.0
3.2240 0.0000 0.0000
-1.6120 2.7921 0.0000
0.0000 0.0000 17.9438
U Sn Pb
2 2 2
Direct
0.3333 0.6667 0.2331
0.6667 0.3333 0.7669
0.3333 0.6667 0.9200
0.6667 0.3333 0.0800
0.3333 0.6667 0.6015
0.6667 0.3333 0.3985
```

Calculated values
volume: 26.92 Å³ per atom
theoretical density: 11.59 g cm⁻³
DOS at the Fermi energy: 12.384 states/eV per cell

two:
VASP calculation (PBE-GGA) on an optimized crystal structure of USnPb.

The structure in POSCAR format:
```
USnPb
1.0
5.5024 0.0000 0.0000
-2.7512 4.7652 0.0000
0.0000 0.0000 3.0673
U Sn Pb
1 1 1
Direct
0.0000 0.0000 0.0000
0.6667 0.3333 0.5010
0.3333 0.6667 0.4987
```

Calculated values
volume: 26.81 Å³ per atom
theoretical density: 11.64 g cm⁻³
DOS at the Fermi energy: 4.683 states/eV per cell

It is one that is the least stable of them.